K3Ce3GeSe8 | PBE-GGA | optimized geometry

Unit cell a=8.535 b=8.535 c=9.129 alpha=117.88 beta=89.99 gamma=120.00
Sites, in units of the cell vectors:
K  0.000  0.000  0.000
K  0.000  0.500  0.000
K  0.500  0.500  0.000
Ce  0.500  0.000  0.500
Ce  0.500  0.500  0.500
Ce  0.000  0.500  0.500
Ge  0.000  0.000  0.500
Se  0.264  0.527  0.290
Se  0.736  0.473  0.710
Se  0.769  0.538  0.305
Se  0.231  0.462  0.695
Se  0.769  0.036  0.305
Se  0.231  0.964  0.695
Se  0.267  0.036  0.305
Se  0.733  0.964  0.695

- M_tot: 1.1 μB per cell
- Raw formation energy: -137.47 kJ per mole of atoms
- Crystal system: trigonal